Compound: HfIrW2F
Source: the Alexandria database
Functional: GGA+U
Structure: optimized geometry

Values from the calculation:
Spin magnetization, Bohr magnetons per cell: 4.28
Fermi-level density of states, states/eV/cell: 1.69
Total energy, eV/cell: -32.75

abc: 4.361 4.361 4.376
angles: 90.00 90.00 90.00
Space group P4/mmm (No. 123)
One atom of each set of equivalent atoms:
Hf  0.000  0.000  0.000
Ir  0.500  0.500  0.000
W  0.000  0.500  0.500
F  0.000  0.000  0.500